{"formula": "Tb2TmScBi5", "functional": "PBE", "state": "optimized geometry", "lattice_angstrom": [[5.421, 0.000, 0.000], [0.000, 5.421, 0.000], [0.000, 0.000, 11.465]], "species": ["Tb", "Tb", "Tm", "Sc", "Bi", "Bi", "Bi", "Bi", "Bi"], "fractional_positions": [[0.500, 0.500, 0.277], [0.500, 0.500, 0.723], [0.000, 0.000, 0.500], [0.000, 0.000, 0.000], [0.000, 0.500, 0.500], [0.500, 0.000, 0.500], [0.000, 0.000, 0.760], [0.000, 0.000, 0.240], [0.500, 0.500, 0.000]], "space_group": "P4/mmm", "mass_density_g_cm3": 7.77, "formation_enthalpy_0k_ev_per_atom": 0.027, "crystal_system": "tetragonal"}

***

{"formula": "Mg8Al2Pb", "functional": "PBE", "state": "optimized geometry", "lattice_angstrom": [[4.332, 0.000, -0.971], [0.010, 7.070, 0.046], [-0.452, 1.962, 8.135]], "species": ["Mg", "Mg", "Mg", "Mg", "Mg", "Mg", "Mg", "Mg", "Al", "Al", "Pb"], "fractional_positions": [[0.593, 0.548, 0.187], [0.316, 0.918, 0.633], [0.226, 0.365, 0.453], [0.045, 0.270, 0.090], [0.774, 0.635, 0.547], [0.684, 0.082, 0.367], [0.407, 0.452, 0.813], [0.955, 0.730, 0.910], [0.147, 0.805, 0.295], [0.853, 0.195, 0.705], [0.500, 0.000, 0.000]], "space_group": "C2/m", "mass_density_g_cm3": 3.08, "formation_enthalpy_0k_ev_per_atom": 0.017, "crystal_system": "monoclinic"}

***

{"formula": "MnCoBiTe2", "functional": "PBE", "state": "optimized geometry", "lattice_angstrom": [[5.219, 0.000, 0.000], [0.000, 4.429, 0.000], [0.000, 0.000, 5.219]], "species": ["Te", "Te", "Co", "Bi", "Mn"], "fractional_positions": [[0.000, 0.000, 0.500], [0.500, 0.000, 0.000], [0.000, 0.500, 0.000], [0.500, 0.500, 0.500], [0.000, 0.000, 0.000]], "space_group": "P4/mmm", "formation_energy_uncorrected_ev_per_fu": 3.17, "mass_density_g_cm3": 7.96, "crystal_system": "tetragonal"}

***

{"formula": "Hf2SN2", "functional": "PBE", "state": "optimized geometry", "lattice_angstrom": [[-1.199, 4.749, 4.040], [-4.397, 0.385, 4.564], [4.792, -3.263, -2.590]], "species": ["Hf", "Hf", "S", "N", "N"], "fractional_positions": [[0.826, 0.326, 0.500], [0.174, 0.674, 0.500], [0.000, 0.000, 0.000], [0.721, 0.721, 0.000], [0.279, 0.279, 0.000]], "space_group": "Immm", "formation_energy_uncorrected_ev_per_fu": -8.69, "mass_density_g_cm3": 8.28, "crystal_system": "orthorhombic"}